1:
Density functional theory data (PBE) for a relaxed Li2MgTl2 crystal.

Properties
V (Å³ per cell): 221.62

Lattice parameters (Å, degrees): 8.0353 8.0353 3.4325 90.00 90.00 90.00
Element x y z (fractional)
1 Li 0.1584 0.3416 0.0000
2 Li 0.3416 0.8416 0.0000
3 Li 0.6584 0.1584 0.0000
4 Li 0.8416 0.6584 0.0000
5 Mg 0.0000 0.0000 0.5000
6 Mg 0.5000 0.5000 0.5000
7 Tl 0.1419 0.6419 0.5000
8 Tl 0.3581 0.1419 0.5000
9 Tl 0.6419 0.8581 0.5000
10 Tl 0.8581 0.3581 0.5000

2:
Density functional theory data (PBE) for a relaxed Li2MgTl2 crystal.

Properties
V (Å³ per cell): 110.75

Lattice parameters (Å, degrees): 7.7189 7.7189 7.7189 150.57 150.57 42.10
Element x y z (fractional)
1 Li 0.2500 0.7500 0.5000
2 Li 0.7500 0.2500 0.5000
3 Mg 0.0000 0.0000 0.0000
4 Tl 0.3927 0.3927 0.0000
5 Tl 0.6073 0.6073 0.0000

Least stable = 2

1:
Density functional theory data (PBE) for a relaxed Li4Mg2Tl crystal.

Properties
V (Å³ per cell): 155.56

Lattice parameters (Å, degrees): 6.3386 6.3386 5.0281 90.00 90.00 129.64
Element x y z (fractional)
1 Li 0.1244 0.8756 0.0000
2 Li 0.2548 0.7452 0.5000
3 Li 0.7452 0.2548 0.5000
4 Li 0.8756 0.1244 0.0000
5 Mg 0.3727 0.6273 0.0000
6 Mg 0.6273 0.3727 0.0000
7 Tl 0.0000 0.0000 0.5000

2:
Density functional theory data (PBE) for a relaxed Li4Mg2Tl crystal.

Properties
V (Å³ per cell): 140.96

Lattice parameters (Å, degrees): 10.2754 10.2754 10.2754 163.09 153.46 31.64
Element x y z (fractional)
1 Li 0.0677 0.0677 0.0000
2 Li 0.3614 0.8614 0.5000
3 Li 0.6386 0.1386 0.5000
4 Li 0.9323 0.9323 0.0000
5 Mg 0.2089 0.7089 0.5000
6 Mg 0.7911 0.2911 0.5000
7 Tl 0.5000 0.5000 0.0000

Least stable = 1

1:
Density functional theory data (PBE) for a relaxed LiMg5Tl6 crystal.

Properties
V (Å³ per cell): 292.59

Lattice parameters (Å, degrees): 5.2003 7.1508 8.2697 90.00 107.93 90.00
Element x y z (fractional)
1 Li 0.0000 0.0000 0.0000
2 Mg 0.0000 0.5000 0.0000
3 Mg 0.3328 0.5000 0.6637
4 Mg 0.3337 0.0000 0.6635
5 Mg 0.6663 0.0000 0.3365
6 Mg 0.6672 0.5000 0.3363
7 Tl 0.1631 0.2485 0.3291
8 Tl 0.1631 0.7515 0.3291
9 Tl 0.5000 0.2453 0.0000
10 Tl 0.5000 0.7547 0.0000
11 Tl 0.8369 0.2485 0.6709
12 Tl 0.8369 0.7515 0.6709

2:
Density functional theory data (PBE) for a relaxed LiMg5Tl6 crystal.

Properties
V (Å³ per cell): 298.05

Lattice parameters (Å, degrees): 7.0789 7.0789 6.0757 97.68 97.68 93.52
Element x y z (fractional)
1 Li 0.0000 0.0000 0.0000
2 Mg 0.1714 0.8286 0.5000
3 Mg 0.3359 0.6641 0.0000
4 Mg 0.5000 0.5000 0.5000
5 Mg 0.6641 0.3359 0.0000
6 Mg 0.8286 0.1714 0.5000
7 Tl 0.0815 0.4097 0.2457
8 Tl 0.2435 0.2435 0.7520
9 Tl 0.4097 0.0815 0.2457
10 Tl 0.5903 0.9185 0.7543
11 Tl 0.7565 0.7565 0.2480
12 Tl 0.9185 0.5903 0.7543

Least stable = 2

1:
Density functional theory data (PBE) for a relaxed LiMg4Tl crystal.

Properties
V (Å³ per cell): 147.33

Lattice parameters (Å, degrees): 5.9283 5.9283 5.9283 60.00 60.00 60.00
Element x y z (fractional)
1 Li 0.0000 0.0000 0.0000
2 Mg 0.1250 0.6250 0.6250
3 Mg 0.6250 0.1250 0.6250
4 Mg 0.6250 0.6250 0.1250
5 Mg 0.6250 0.6250 0.6250
6 Tl 0.2500 0.2500 0.2500

2:
Density functional theory data (PBE) for a relaxed LiMg4Tl crystal.

Properties
V (Å³ per cell): 271.18

Lattice parameters (Å, degrees): 6.1918 5.0344 8.6994 90.00 90.00 90.00
Element x y z (fractional)
1 Li 0.0000 0.2492 0.0000
2 Li 0.5000 0.7508 0.5000
3 Mg 0.0000 0.7490 0.4978
4 Mg 0.0000 0.7490 0.8384
5 Mg 0.2475 0.2499 0.6658
6 Mg 0.2525 0.7501 0.1658
7 Mg 0.5000 0.2510 0.3384
8 Mg 0.5000 0.2510 0.9978
9 Mg 0.7475 0.7501 0.1658
10 Mg 0.7525 0.2499 0.6658
11 Tl 0.0000 0.2491 0.3198
12 Tl 0.5000 0.7509 0.8198

Least stable = 1

1:
Density functional theory data (PBE) for a relaxed Li3MgTl crystal.

Properties
V (Å³ per cell): 103.34

Lattice parameters (Å, degrees): 5.0137 5.0137 5.0137 67.48 67.48 67.48
Element x y z (fractional)
1 Li 0.1691 0.1691 0.6618
2 Li 0.1691 0.6618 0.1691
3 Li 0.6618 0.1691 0.1691
4 Mg 0.7906 0.7906 0.7906
5 Tl 0.5389 0.5389 0.5389

2:
Density functional theory data (PBE) for a relaxed Li3MgTl crystal.

Properties
V (Å³ per cell): 131.69

Lattice parameters (Å, degrees): 5.0877 5.0877 5.0877 90.00 90.00 90.00
Element x y z (fractional)
1 Li 0.0000 0.0000 0.5000
2 Li 0.0000 0.5000 0.0000
3 Li 0.5000 0.0000 0.0000
4 Mg 0.5000 0.5000 0.5000
5 Tl 0.0000 0.0000 0.0000

3:
Density functional theory data (PBE) for a relaxed Li3MgTl crystal.

Properties
V (Å³ per cell): 209.25

Lattice parameters (Å, degrees): 4.8873 3.0121 14.2143 90.00 90.10 90.00
Element x y z (fractional)
1 Li 0.0000 0.0000 0.0000
2 Li 0.0004 0.5000 0.3959
3 Li 0.4988 0.0000 0.9033
4 Li 0.5001 0.5000 0.5076
5 Li 0.5017 0.0000 0.3125
6 Li 0.9992 0.0000 0.5914
7 Mg 0.0018 0.0000 0.2072
8 Mg 0.4996 0.0000 0.6963
9 Tl 0.9995 0.5000 0.8089
10 Tl 0.5008 0.5000 0.0946

Least stable = 2

1:
Density functional theory data (PBE) for a relaxed Li3Mg2Tl2 crystal.

Properties
V (Å³ per cell): 150.45

Lattice parameters (Å, degrees): 4.8386 3.1211 10.2411 90.00 103.39 90.00
Element x y z (fractional)
1 Li 0.0000 0.0000 0.0000
2 Li 0.2810 0.0000 0.5626
3 Li 0.7190 0.0000 0.4374
4 Mg 0.4244 0.0000 0.8469
5 Mg 0.5756 0.0000 0.1531
6 Tl 0.1457 0.5000 0.2947
7 Tl 0.8543 0.5000 0.7053

2:
Density functional theory data (PBE) for a relaxed Li3Mg2Tl2 crystal.

Properties
V (Å³ per cell): 149.05

Lattice parameters (Å, degrees): 5.0128 5.0128 7.4411 107.00 107.00 57.74
Element x y z (fractional)
1 Li 0.0000 0.0000 0.0000
2 Li 0.1422 0.1422 0.4282
3 Li 0.8578 0.8578 0.5718
4 Mg 0.4288 0.4288 0.2768
5 Mg 0.5712 0.5712 0.7232
6 Tl 0.2758 0.2758 0.8293
7 Tl 0.7242 0.7242 0.1707

Least stable = 1

1:
Density functional theory data (PBE) for a relaxed LiMgTl3 crystal.

Properties
V (Å³ per cell): 138.57

Lattice parameters (Å, degrees): 5.1748 5.1748 5.1748 90.00 90.00 90.00
Element x y z (fractional)
1 Li 0.0000 0.0000 0.0000
2 Mg 0.5000 0.5000 0.5000
3 Tl 0.0000 0.0000 0.5000
4 Tl 0.0000 0.5000 0.0000
5 Tl 0.5000 0.0000 0.0000

2:
Density functional theory data (PBE) for a relaxed LiMgTl3 crystal.

Properties
V (Å³ per cell): 519.20

Lattice parameters (Å, degrees): 7.8042 7.8042 8.5279 90.21 90.21 88.46
Element x y z (fractional)
1 Li 0.2144 0.2821 0.1310
2 Li 0.2821 0.2144 0.6310
3 Li 0.7179 0.7856 0.3690
4 Li 0.7856 0.7179 0.8690
5 Mg 0.1321 0.8679 0.2500
6 Mg 0.3683 0.6317 0.7500
7 Mg 0.6317 0.3683 0.2500
8 Mg 0.8679 0.1321 0.7500
9 Tl 0.0210 0.7942 0.5921
10 Tl 0.0604 0.4407 0.8314
11 Tl 0.2058 0.9790 0.9079
12 Tl 0.2943 0.5195 0.4072
13 Tl 0.4407 0.0604 0.3314
14 Tl 0.4805 0.7057 0.0928
15 Tl 0.5195 0.2943 0.9072
16 Tl 0.5593 0.9396 0.6686
17 Tl 0.7057 0.4805 0.5928
18 Tl 0.7942 0.0210 0.0921
19 Tl 0.9396 0.5593 0.1686
20 Tl 0.9790 0.2058 0.4079

Least stable = 1

1:
Density functional theory data (PBE) for a relaxed Li12Mg6Tl crystal.

Properties
V (Å³ per cell): 429.95

Lattice parameters (Å, degrees): 8.1158 8.1158 8.1158 108.19 108.19 108.19
Element x y z (fractional)
1 Li 0.0000 0.3913 0.6087
2 Li 0.0000 0.6087 0.3913
3 Li 0.1721 0.1721 0.3932
4 Li 0.1721 0.3932 0.1721
5 Li 0.3913 0.0000 0.6087
6 Li 0.3913 0.6087 0.0000
7 Li 0.3932 0.1721 0.1721
8 Li 0.6068 0.8279 0.8279
9 Li 0.6087 0.0000 0.3913
10 Li 0.6087 0.3913 0.0000
11 Li 0.8279 0.6068 0.8279
12 Li 0.8279 0.8279 0.6068
13 Mg 0.1702 0.1702 0.7677
14 Mg 0.1702 0.7677 0.1702
15 Mg 0.2323 0.8298 0.8298
16 Mg 0.7677 0.1702 0.1702
17 Mg 0.8298 0.2323 0.8298
18 Mg 0.8298 0.8298 0.2323
19 Tl 0.5000 0.5000 0.5000

2:
Density functional theory data (PBE) for a relaxed Li12Mg6Tl crystal.

Properties
V (Å³ per cell): 397.34

Lattice parameters (Å, degrees): 7.5105 7.5105 7.5105 100.88 100.88 100.88
Element x y z (fractional)
1 Li 0.0000 0.2539 0.7461
2 Li 0.0000 0.7461 0.2539
3 Li 0.1820 0.5903 0.5903
4 Li 0.2539 0.0000 0.7461
5 Li 0.2539 0.7461 0.0000
6 Li 0.4097 0.4097 0.8180
7 Li 0.4097 0.8180 0.4097
8 Li 0.5903 0.1820 0.5903
9 Li 0.5903 0.5903 0.1820
10 Li 0.7461 0.0000 0.2539
11 Li 0.7461 0.2539 0.0000
12 Li 0.8180 0.4097 0.4097
13 Mg 0.1558 0.1558 0.4254
14 Mg 0.1558 0.4254 0.1558
15 Mg 0.4254 0.1558 0.1558
16 Mg 0.5746 0.8442 0.8442
17 Mg 0.8442 0.5746 0.8442
18 Mg 0.8442 0.8442 0.5746
19 Tl 0.0000 0.0000 0.0000

Least stable = 1